# Ca2CrBiRu (GGA-PBE, relaxed)
data_Ca2CrBiRu
_chemical_formula_sum 'Ca2 Cr1 Bi1 Ru1'
_cell_length_a 5.426
_cell_length_b 5.426
_cell_length_c 5.007
_cell_angle_alpha 90.00
_cell_angle_beta 90.00
_cell_angle_gamma 90.00
_space_group_name_H-M_alt 'P 1'
_space_group_IT_number 1
loop_
_space_group_symop_operation_xyz
'x,y,z'
loop_
_atom_site_label
_atom_site_type_symbol
_atom_site_fract_x
_atom_site_fract_y
_atom_site_fract_z
Ca1 Ca 0.000 0.500 0.000
Ca2 Ca 0.500 0.000 0.000
Cr1 Cr 0.000 0.000 0.000
Bi1 Bi 0.000 0.000 0.500
Ru1 Ru 0.500 0.500 0.500
# - crystal system = tetragonal
# - density (g/cm³) = 5.0
# - DFT total energy (eV per atom) = -4.364
# - DFT formation energy (eV per atom) = 0.99